No. 1
## Cs2SnI3 (PBE)

Data for a geometry-optimized Cs2SnI3 structure.

a = 7.5662 Å, b = 10.6961 Å, c = 8.9540 Å
α = 107.35°, β = 114.99°, γ = 90.00°
Closest atoms and distances in Å follow each position.
Fractional coordinates of all 12 atoms:
Cs  0.6721  0.5858  0.3445  6 I 3.76-3.99
Cs  0.6725  0.0858  0.3445  6 I 3.76-3.99
Cs  0.3275  0.9142  0.6555  6 I 3.76-3.99
Cs  0.3279  0.4142  0.6555  6 I 3.76-3.99
Sn  0.0010  0.7500  0.0000  5 I 3.37-3.76
Sn  0.9990  0.2500  0.0000  5 I 3.37-3.76
I  0.4959  0.2500  0.0000  4 Cs 3.76, 2 Sn 3.76-3.81
I  0.5041  0.7500  0.0000  4 Cs 3.76, 2 Sn 3.76-3.81
I  0.1349  0.0678  0.2695  2 Sn 3.37-3.38
I  0.8654  0.4322  0.7305  2 Sn 3.37-3.38
I  0.1346  0.5678  0.2695  2 Sn 3.37-3.38
I  0.8651  0.9322  0.7305  2 Sn 3.37-3.38

Properties
Symmetry ... No. 15
Raw formation energy ... -0.93 eV/atom
Uncorrected energy ... -2.661 eV per atom

***

No. 2
## NdH12Rh5 (PBE)

Data for a geometry-optimized NdH12Rh5 structure.

a = 5.4483 Å, b = 7.5490 Å, c = 5.3147 Å
α = 113.96°, β = 126.09°, γ = 85.37°
Closest atoms and distances in Å follow each position.
Fractional coordinates of all 18 atoms:
Nd  0.0000  0.5000  0.5000  10 H 2.37-2.62
H  0.6006  0.0101  0.7412  3 Rh 1.78-1.87, 1 H 1.86
H  0.3994  0.9899  0.2588  3 Rh 1.78-1.87, 1 H 1.86
H  0.8559  0.2598  0.6311  2 Rh 1.73-1.77
H  0.1441  0.7402  0.3689  2 Rh 1.73-1.77
H  0.4275  0.5344  0.1291  2 Rh 1.68-1.72, 1 H 1.85
H  0.5725  0.4656  0.8709  2 Rh 1.68-1.72, 1 H 1.85
H  0.4964  0.7710  0.0311  2 Rh 1.70-1.80, 1 H 1.86
H  0.5036  0.2290  0.9689  2 Rh 1.70-1.80, 1 H 1.86
H  0.7744  0.7489  0.6896  3 Rh 1.77-1.84
H  0.2256  0.2511  0.3104  3 Rh 1.77-1.84
H  0.1179  0.0678  0.7984  2 Rh 1.68-1.77
H  0.8821  0.9322  0.2016  2 Rh 1.68-1.77
Rh  0.7736  0.6832  0.9871  5 H 1.68-1.84
Rh  0.2264  0.3168  0.0129  5 H 1.68-1.84
Rh  0.5626  0.2258  0.6667  6 H 1.68-1.87
Rh  0.4374  0.7742  0.3333  6 H 1.68-1.87
Rh  0.0000  0.0000  0.0000  6 H 1.77-1.81

Properties
Symmetry ... No. 2
Uncorrected energy ... -4.659 eV per atom